Ge2BiPF: relaxed, GGA-PBE.

Results
- Calculated density: 6.34 g/cm³
- Formation energy from raw total energies: 0.096 eV per atom

Cell and atoms, written as POSCAR:
```
Ge2BiPF
1.0
4.4259 0.0000 0.0000
0.0000 4.4259 0.0000
0.0000 0.0000 5.4054
Ge Bi P F
2 1 1 1
Direct
0.0000 0.5000 0.0000
0.5000 0.0000 0.0000
0.0000 0.0000 0.5000
0.5000 0.5000 0.5000
0.5000 0.5000 0.0000
```